# YB6Mo2 PBE relaxed
data_YB6Mo2
_cell_length_a 3.1370
_cell_length_b 5.7435
_cell_length_c 5.7435
_cell_angle_alpha 75.40
_cell_angle_beta 74.15
_cell_angle_gamma 74.15
_space_group_name_H-M_alt 'P 1'
_space_group_IT_number 1
loop_
_space_group_symop_operation_xyz
'x,y,z'
loop_
_atom_site_label
_atom_site_fract_x
_atom_site_fract_y
_atom_site_fract_z
Mo1 0.6544 0.8456 0.8456
Mo2 0.3456 0.1544 0.1544
B1 0.0000 0.8300 0.1700
B2 0.1936 0.5651 0.0478
B3 0.8064 0.9522 0.4349
B4 0.8064 0.4349 0.9522
B5 0.1936 0.0478 0.5651
B6 0.0000 0.1700 0.8300
Y1 0.5000 0.5000 0.5000
# Final energy (eV/atom): -8.060
# E_form (eV per formula unit): -4.347
# Calculated volume (Å³/f.u.): 94
# Space-group type: No. 71


# YB2Mo PBE relaxed
data_YB2Mo
_cell_length_a 4.8787
_cell_length_b 4.8787
_cell_length_c 6.9536
_cell_angle_alpha 69.46
_cell_angle_beta 69.46
_cell_angle_gamma 90.00
_space_group_name_H-M_alt 'P 1'
_space_group_IT_number 1
loop_
_space_group_symop_operation_xyz
'x,y,z'
loop_
_atom_site_label
_atom_site_fract_x
_atom_site_fract_y
_atom_site_fract_z
Mo1 0.0000 0.0000 0.0000
Mo2 0.7500 0.2500 0.5000
B1 0.0177 0.6250 0.2500
B2 0.7323 0.1250 0.2500
B3 0.3750 0.2677 0.7500
B4 0.8750 0.9823 0.7500
Y1 0.2500 0.7500 0.5000
Y2 0.5000 0.5000 0.0000
# Final energy (eV/atom): -7.196
# E_form (eV per formula unit): 1.866
# Calculated volume (Å³/f.u.): 72
# Space-group type: No. 122


# YB6Mo2 PBE relaxed
data_YB6Mo2
_cell_length_a 3.4988
_cell_length_b 5.3739
_cell_length_c 5.3739
_cell_angle_alpha 120.00
_cell_angle_beta 90.00
_cell_angle_gamma 90.00
_space_group_name_H-M_alt 'P 1'
_space_group_IT_number 1
loop_
_space_group_symop_operation_xyz
'x,y,z'
loop_
_atom_site_label
_atom_site_fract_x
_atom_site_fract_y
_atom_site_fract_z
Mo1 0.0000 0.3333 0.6667
Mo2 0.0000 0.6667 0.3333
B1 0.5000 0.0000 0.6596
B2 0.5000 0.3404 0.3404
B3 0.5000 0.0000 0.3404
B4 0.5000 0.6596 0.6596
B5 0.5000 0.3404 0.0000
B6 0.5000 0.6596 0.0000
Y1 0.0000 0.0000 0.0000
# Final energy (eV/atom): -7.985
# E_form (eV per formula unit): -3.676
# Calculated volume (Å³/f.u.): 88
# Space-group type: No. 191